Entry from Alexandria via LeMat-Bulk: crystalline Pr4Ho7Th at its relaxed geometry (GGA-PBE).

a b c (Å): 6.792 6.792 12.831
angles (deg): 115.01 115.01 52.23
Fractional coordinates of all 12 atoms:
Pr  0.059  0.059  0.334
Pr  0.361  0.361  0.223
Pr  0.639  0.639  0.777
Pr  0.941  0.941  0.666
Ho  0.000  0.000  0.000
Ho  0.211  0.211  0.924
Ho  0.254  0.254  0.686
Ho  0.364  0.364  0.495
Ho  0.636  0.636  0.505
Ho  0.746  0.746  0.314
Ho  0.789  0.789  0.076
Th  0.500  0.500  0.000

* energy of formation: 287 meV/atom
* distance to the lowest polymorph of the same formula: 25.49 kJ/mol of atoms
* space group: C2/m, No. 12
* total moment: 0.00 μB per formula unit